1.
# Ca2YAgO4

A relaxed Ca2YAgO4 crystal (PBE-GGA, Alexandria via LeMat-Bulk).

Unit cell a=3.4545 b=5.9058 c=5.9203 alpha=108.87 beta=90.00 gamma=90.00
Positions (direct):
O: 0.0000 0.7256 0.2469
Ca: 0.5000 0.0000 0.5000
O: 0.0000 0.2744 0.7531
O: 0.5000 0.7193 0.7357
Ca: 0.0000 0.5000 0.5000
Y: 0.5000 0.5000 0.0000
O: 0.5000 0.2807 0.2643
Ag: 0.0000 0.0000 0.0000

Output
Formation energy without anion corrections, eV/atom: -2.494
Density of states at the Fermi level, states/eV per atom: 0.0000
Crystal system: monoclinic
Calculated volume, Å³/atom: 14.286


2.
# CaY2AgO

A relaxed CaY2AgO crystal (PBE-GGA, Alexandria via LeMat-Bulk).

Unit cell a=4.7580 b=4.7580 c=4.8763 alpha=90.00 beta=90.00 gamma=90.00
Positions (direct):
Ca: 0.0000 0.0000 0.5000
Ag: 0.5000 0.5000 0.5000
Y: 0.0000 0.5000 0.0000
O: 0.0000 0.0000 0.0000
Y: 0.5000 0.0000 0.0000

Output
Formation energy without anion corrections, eV/atom: -1.194
Density of states at the Fermi level, states/eV per atom: 1.1715
Crystal system: tetragonal
Calculated volume, Å³/atom: 22.078


3.
# Ca2YAgO

A relaxed Ca2YAgO crystal (PBE-GGA, Alexandria via LeMat-Bulk).

Unit cell a=4.9539 b=4.9539 c=4.6200 alpha=90.00 beta=90.00 gamma=90.00
Positions (direct):
O: 0.0000 0.0000 0.0000
Ca: 0.5000 0.0000 0.0000
Ca: 0.0000 0.5000 0.0000
Ag: 0.5000 0.5000 0.5000
Y: 0.0000 0.0000 0.5000

Output
Formation energy without anion corrections, eV/atom: -1.201
Density of states at the Fermi level, states/eV per atom: 0.7118
Crystal system: tetragonal
Calculated volume, Å³/atom: 22.676


4.
# CaZr2AgO

A relaxed CaZr2AgO crystal (PBE-GGA, Alexandria via LeMat-Bulk).

Unit cell a=4.4679 b=4.4679 c=4.7989 alpha=90.00 beta=90.00 gamma=90.00
Positions (direct):
O: 0.0000 0.0000 0.0000
Zr: 0.5000 0.0000 0.0000
Ca: 0.0000 0.0000 0.5000
Ag: 0.5000 0.5000 0.5000
Zr: 0.0000 0.5000 0.0000

Output
Formation energy without anion corrections, eV/atom: -0.966
Density of states at the Fermi level, states/eV per atom: 0.8185
Crystal system: tetragonal
Calculated volume, Å³/atom: 19.159


5.
# Ca2AgOs

A relaxed Ca2AgOs crystal (PBE-GGA, Alexandria via LeMat-Bulk).

Unit cell a=6.4038 b=6.4038 c=6.4038 alpha=151.31 beta=133.05 gamma=55.95
Positions (direct):
Ca: 0.0171 0.0171 0.0000
Ag: 0.2864 0.7864 0.5000
Ca: 0.7126 0.2126 0.5000
Os: 0.4840 0.4840 0.0000

Output
Density of states at the Fermi level, states/eV per atom: 0.8521
DFT formation energy, eV/f.u.: 1.30
Crystal system: orthorhombic
Calculated volume, Å³/atom: 22.886


6.
# CaAg3Os

A relaxed CaAg3Os crystal (PBE-GGA, Alexandria via LeMat-Bulk).

Unit cell a=4.9461 b=4.9461 c=4.9461 alpha=90.00 beta=90.00 gamma=90.00
Each line ends with the local moment (μB).
Positions (direct):
Ag: 0.5000 0.0000 0.0000  -0.03
Os: 0.5000 0.5000 0.5000  1.68
Ag: 0.0000 0.5000 0.0000  -0.04
Ca: 0.0000 0.0000 0.0000  -0.05
Ag: 0.0000 0.0000 0.5000  -0.05

Output
Density of states at the Fermi level, states/eV per atom: 0.7093
DFT formation energy, eV/f.u.: 9.51
Crystal system: cubic
Energy relative to the lowest polymorph listed for this composition, meV/atom: 1059
Calculated volume, Å³/atom: 24.201


- The highest calculated volume belongs to which entry?
  CaAg3Os


- Number 3 is which compound?
  Ca2YAgO


- Which of these has the lowest calculated volume?
  Ca2YAgO4


- density of states at the Fermi level of number 2 (CaY2AgO)?
  1.1715 states/eV per atom